1.
# Sc2NiAg

A geometry-optimized Sc2NiAg structure (GGA-PBE, the Alexandria database).

Calculated values
ΔH_f (0 K): -176.0 meV/atom
raw total energy: -5.500 eV per atom

Cell and atoms, written as POSCAR:
```
Sc2NiAg
1.0
3.534 0.000 0.000
0.000 3.534 0.000
0.000 0.000 6.117
Sc Ag Ni
2 1 1
direct
0.000 0.000 0.933
0.500 0.500 0.277
0.000 0.000 0.492
0.500 0.500 0.798
```



2.
# TlMo2Pb

A geometry-optimized TlMo2Pb structure (GGA-PBE, the Alexandria database).

Calculated values
ΔH_f (0 K): 925.3 meV/atom
raw total energy: -6.009 eV per atom

Cell and atoms, written as POSCAR:
```
TlMo2Pb
1.0
3.060 -0.005 0.000
-1.151 2.835 0.000
0.000 0.000 9.272
Mo Pb Tl
2 1 1
direct
0.000 0.000 0.498
0.000 0.000 0.002
0.500 0.500 0.250
0.500 0.500 0.750
```



3.
# Mg3BeC

A geometry-optimized Mg3BeC structure (GGA-PBE, the Alexandria database).

Calculated values
ΔH_f (0 K): 466.7 meV/atom
raw total energy: -3.080 eV per atom

Cell and atoms, written as POSCAR:
```
Mg3BeC
1.0
-1.751 1.187 3.795
-3.915 0.215 -1.874
-0.700 -4.175 0.982
Mg Be C
3 1 1
direct
0.500 0.000 0.000
0.000 0.000 0.500
0.000 0.500 0.000
0.500 0.500 0.500
0.000 0.000 0.000
```



4.
# BaZnCd2Rh

A geometry-optimized BaZnCd2Rh structure (GGA-PBE, the Alexandria database).

Calculated values
ΔH_f (0 K): -266.4 meV/atom
raw total energy: -2.742 eV per atom

Cell and atoms, written as POSCAR:
```
BaZnCd2Rh
1.0
5.260 0.000 0.000
0.000 5.260 0.000
0.000 0.000 4.929
Cd Ba Rh Zn
2 1 1 1
direct
0.000 0.500 0.000
0.500 0.000 0.000
0.500 0.500 0.500
0.000 0.000 0.000
0.000 0.000 0.500
```



5.
# FeSi2I

A geometry-optimized FeSi2I structure (GGA-PBE, the Alexandria database).

Calculated values
raw total energy: -4.657 eV per atom

Cell and atoms, written as POSCAR:
```
FeSi2I
1.0
-0.376 5.748 -0.547
-4.959 -0.040 2.982
0.284 3.515 6.134
I Si Fe
2 4 2
direct
0.000 0.000 0.000
0.750 0.250 0.500
0.375 0.499 0.750
0.249 0.625 0.250
0.501 0.125 0.250
0.875 0.751 0.750
0.250 0.750 0.500
0.500 0.500 0.000
```



6.
# Pt2AuC

A geometry-optimized Pt2AuC structure (GGA-PBE, the Alexandria database).

Calculated values
ΔH_f (0 K): 427.4 meV/atom
raw total energy: -5.718 eV per atom

Cell and atoms, written as POSCAR:
```
Pt2AuC
1.0
-5.902 -2.121 1.170
1.765 -5.876 -1.749
-1.279 -4.615 2.579
Pt C Au
4 2 2
direct
0.875 0.766 0.750
0.516 0.125 0.250
0.234 0.625 0.250
0.375 0.484 0.750
0.250 0.750 0.500
0.500 0.500 0.000
0.000 0.000 0.000
0.750 0.250 0.500
```



no.,size of the total moment (Bohr magnetons per cell)
1,0.0
2,0.0
3,0.0
4,0.0
5,0.0
6,0.0